Entry a
Computed, not measured: an optimized crystal structure of Hf2NbMo at the PBE level of DFT.

## Properties
ρ (g cm⁻³): 11.87
Magnetic moment (μB per formula unit): 0.00

Unit cell a=4.762 b=4.762 c=4.762 alpha=60.00 beta=60.00 gamma=60.00
Fractional positions:
Mo  0.500  0.500  0.500
Hf  0.250  0.250  0.250
Hf  0.750  0.750  0.750
Nb  0.000  0.000  0.000

---

Entry b
Computed, not measured: an optimized crystal structure of Hf2NbMo at the PBE level of DFT.

## Properties
ρ (g cm⁻³): 11.79
Magnetic moment (μB per formula unit): 0.00

Unit cell a=3.312 b=3.312 c=7.005 alpha=90.00 beta=90.00 gamma=90.00
Fractional positions:
Mo  0.500  0.500  0.000
Hf  0.000  0.000  0.768
Hf  0.000  0.000  0.232
Nb  0.500  0.500  0.500

---

Entry c
Computed, not measured: an optimized crystal structure of Hf2NbMo at the PBE level of DFT.

## Properties
ρ (g cm⁻³): 11.35
Magnetic moment (μB per formula unit): 0.00

Unit cell a=2.914 b=2.914 c=10.994 alpha=82.39 beta=82.39 gamma=60.00
Fractional positions:
Mo  0.000  0.000  0.000
Hf  0.084  0.084  0.749
Hf  0.916  0.916  0.251
Nb  0.500  0.500  0.500

---

How far above the most stable structure does each one sit? In kJ/mol of atoms: entry a 2.6; entry b 0.0; entry c 46.5.

---

Entry a
Computed, not measured: an optimized crystal structure of HfNb3Mo2 at the PBE level of DFT.

## Properties
ρ (g cm⁻³): 9.68
Magnetic moment (μB per formula unit): 0.00

Unit cell a=4.679 b=8.254 c=7.448 alpha=124.49 beta=90.00 gamma=106.47
Fractional positions:
Hf  0.868  0.737  0.927
Hf  0.132  0.263  0.073
Nb  0.306  0.612  0.564
Nb  0.942  0.884  0.596
Nb  0.621  0.242  0.701
Nb  0.379  0.758  0.299
Nb  0.058  0.116  0.404
Nb  0.694  0.388  0.436
Mo  0.514  0.027  0.854
Mo  0.486  0.973  0.146
Mo  0.759  0.517  0.171
Mo  0.241  0.483  0.829

---

Entry b
Computed, not measured: an optimized crystal structure of HfNb3Mo2 at the PBE level of DFT.

## Properties
ρ (g cm⁻³): 10.03
Magnetic moment (μB per formula unit): 0.00

Unit cell a=3.259 b=3.259 c=10.121 alpha=90.00 beta=90.00 gamma=90.00
Fractional positions:
Hf  0.500  0.500  0.500
Nb  0.000  0.000  0.000
Nb  0.000  0.000  0.688
Nb  0.000  0.000  0.312
Mo  0.500  0.500  0.838
Mo  0.500  0.500  0.162

---

How far above the most stable structure does each one sit? In kJ/mol of atoms: entry a 21.3; entry b 0.0.

---

Entry a
Computed, not measured: an optimized crystal structure of HfNbMo4 at the PBE level of DFT.

## Properties
ρ (g cm⁻³): 10.68
Magnetic moment (μB per formula unit): 0.00

Unit cell a=4.543 b=4.544 c=5.432 alpha=65.27 beta=90.00 gamma=90.00
Fractional positions:
Hf  0.500  0.500  0.000
Nb  0.000  0.000  0.000
Mo  0.000  0.326  0.348
Mo  0.500  0.175  0.650
Mo  0.000  0.674  0.652
Mo  0.500  0.825  0.350

---

Entry b
Computed, not measured: an optimized crystal structure of HfNbMo4 at the PBE level of DFT.

## Properties
ρ (g cm⁻³): 10.21
Magnetic moment (μB per formula unit): 0.00

Unit cell a=5.321 b=5.321 c=5.321 alpha=60.00 beta=60.00 gamma=60.00
Fractional positions:
Mo  0.625  0.625  0.125
Mo  0.625  0.125  0.625
Mo  0.625  0.625  0.625
Mo  0.125  0.625  0.625
Hf  0.000  0.000  0.000
Nb  0.250  0.250  0.250

---

How far above the most stable structure does each one sit? In kJ/mol of atoms: entry a 0.0; entry b 6.0.